VASP calculation (PBE+U) on a relaxed structure of CrSbTeO2.

Calculated total energy (eV per atom): -5.26

Cell: 4.0830 4.0830 5.4096 Å, 90.00 90.00 90.00°
Last column: nearest neighbours and their distance in Å.
Space group P4/mmm (No. 123)
Symmetry-distinct sites (fractional):
1 Cr 0.0000 0.0000 0.0000 [1 per cell]  4 O 2.04
2 Sb 0.5000 0.5000 0.5000 [1 per cell]  4 Te 2.89
3 Te 0.0000 0.0000 0.5000 [1 per cell]  2 Cr 2.70, 4 Sb 2.89
4 O 0.0000 0.5000 0.0000 [2 per cell]  2 Cr 2.04